Ac12Nd7Sc after structural relaxation. Source: Alexandria, functional PBE.

a b c (Å): 12.2153 12.2153 12.2153
angles (deg): 116.75 116.75 116.75
Fractional coordinates of all 20 atoms:
1 Ac 0.0000 0.4124 0.5876
2 Ac 0.0000 0.5876 0.4124
3 Ac 0.0671 0.0671 0.4127
4 Ac 0.0671 0.4127 0.0671
5 Ac 0.4124 0.0000 0.5876
6 Ac 0.4124 0.5876 0.0000
7 Ac 0.4127 0.0671 0.0671
8 Ac 0.5873 0.9329 0.9329
9 Ac 0.5876 0.0000 0.4124
10 Ac 0.5876 0.4124 0.0000
11 Ac 0.9329 0.5873 0.9329
12 Ac 0.9329 0.9329 0.5873
13 Nd 0.0000 0.0000 0.0000
14 Nd 0.1534 0.3928 0.3928
15 Nd 0.3928 0.1534 0.3928
16 Nd 0.3928 0.3928 0.1534
17 Nd 0.6072 0.6072 0.8466
18 Nd 0.6072 0.8466 0.6072
19 Nd 0.8466 0.6072 0.6072
20 Sc 0.5000 0.5000 0.5000

Summary:
VASP energy: -4.291 eV/atom
Energy relative to the elements: 3.672 kcal/mol of atoms


Si3BW after structural relaxation. Source: Alexandria, functional PBE.

a b c (Å): 4.7512 4.7512 4.7512
angles (deg): 90.00 90.00 90.00
Fractional coordinates of all 5 atoms:
1 Si 0.0000 0.0000 0.5000
2 Si 0.0000 0.5000 0.0000
3 Si 0.5000 0.0000 0.0000
4 B 0.5000 0.5000 0.5000
5 W 0.0000 0.0000 0.0000

Summary:
VASP energy: -5.747 eV/atom
Relative energy among the computed polymorphs: 433 meV per atom


Sm2Si4IrPt3 after structural relaxation. Source: Alexandria, functional PBE.

a b c (Å): 4.1665 4.1665 10.0675
angles (deg): 90.00 90.00 90.00
Fractional coordinates of all 10 atoms:
1 Sm 0.0000 0.5000 0.2460
2 Sm 0.5000 0.0000 0.7540
3 Si 0.0000 0.0000 0.0000
4 Si 0.0000 0.5000 0.6345
5 Si 0.5000 0.0000 0.3655
6 Si 0.5000 0.5000 0.0000
7 Ir 0.0000 0.0000 0.5000
8 Pt 0.0000 0.5000 0.8755
9 Pt 0.5000 0.0000 0.1245
10 Pt 0.5000 0.5000 0.5000

Summary:
VASP energy: -6.913 eV/atom


Cs2ZnCl7 after structural relaxation. Source: Alexandria, functional PBE.

a b c (Å): 7.7037 7.7037 7.7037
angles (deg): 122.89 122.89 85.06
Fractional coordinates of all 10 atoms:
1 Cs 0.2500 0.7500 0.5000
2 Cs 0.7500 0.2500 0.5000
3 Zn 0.0000 0.0000 0.0000
4 Cl 0.1973 0.1973 0.0000
5 Cl 0.2542 0.2542 0.5084
6 Cl 0.2542 0.7458 0.0000
7 Cl 0.5000 0.5000 0.0000
8 Cl 0.7458 0.2542 0.0000
9 Cl 0.7458 0.7458 0.4916
10 Cl 0.8027 0.8027 0.0000

Summary:
VASP energy: -2.597 eV/atom


Number 1: calculated volume 835 Å³/cell, ρ 7.52 g/cm³, DOS(E_F) 1.39 states/eV/atom. Number 2: calculated volume 107 Å³/cell, ρ 4.32 g/cm³, DOS(E_F) 0.88 states/eV/atom. Number 3: calculated volume 175 Å³/cell, ρ 11.31 g/cm³, DOS(E_F) 0.52 states/eV/atom. Number 4: calculated volume 308 Å³/cell, ρ 3.12 g/cm³, DOS(E_F) 0.23 states/eV/atom.